No. 1
VASP calculation (PBE-GGA) on crystalline NiGeS2N at its relaxed geometry.

Cell: 4.754 4.754 3.440 Å, 90.00 90.00 90.00°
Site moments in Bohr magnetons follow the coordinates.
Atoms (fractional coordinates):
Ni1 0.000 0.000 0.000  0.04
Ge1 0.500 0.500 0.500  0.00
S1 0.000 0.500 0.000  0.03
S2 0.500 0.000 0.000  0.03
N1 0.000 0.000 0.500  0.19

Properties
E above lowest polymorph = 0.000 eV/atom
D(E_F) = 4.027 states/eV per cell
SG = P4/mmm, No. 123


No. 2
VASP calculation (PBE-GGA) on crystalline Tb6PmTl6 at its relaxed geometry.

Cell: 6.456 6.456 10.613 Å, 90.00 90.00 120.00°
Site moments in Bohr magnetons follow the coordinates.
Atoms (fractional coordinates):
Tb1 0.000 0.000 0.664  0.20
Tb2 0.000 0.000 0.336  0.20
Tb3 0.333 0.667 0.000  0.03
Tb4 0.667 0.333 0.000  0.03
Tb5 0.333 0.667 0.500  0.04
Tb6 0.667 0.333 0.500  0.04
Pm1 0.000 0.000 0.000  0.25
Tl1 0.000 0.500 0.754  0.00
Tl2 0.500 0.000 0.754  0.00
Tl3 0.500 0.500 0.754  0.00
Tl4 0.500 0.000 0.246  0.00
Tl5 0.000 0.500 0.246  0.00
Tl6 0.500 0.500 0.246  0.00

Properties
D(E_F) = 13.643 states/eV per cell
energy relative to the elements = -254 kJ/mol of formula units
SG = P6/mmm, No. 191


No. 3
VASP calculation (PBE-GGA) on crystalline LaPrScZn at its relaxed geometry.

Cell: 5.403 5.403 5.403 Å, 60.00 60.00 60.00°
Atoms (fractional coordinates):
Pr1 0.000 0.000 0.000
Sc1 0.250 0.250 0.250
Zn1 0.750 0.750 0.750
La1 0.500 0.500 0.500

Properties
D(E_F) = 4.511 states/eV per cell
energy relative to the elements = -7 kJ/mol of formula units
SG = F-43m, No. 216